HgSb2F8: optimized geometry, PBE.

Cell: 5.1100 6.5196 6.5196 Å, 71.66 97.92 97.92°
Closest atoms and distances in Å follow each position.
Fractional positions:
1 F 0.7109 0.1157 0.1157  1 Hg 2.07, 1 Sb 2.30
2 F 0.2481 0.4110 0.4110  1 Sb 1.99
3 F 0.2891 0.8843 0.8843  1 Hg 2.07, 1 Sb 2.30
4 F 0.2900 0.0145 0.3601  1 Sb 2.03
5 F 0.7519 0.5890 0.5890  1 Sb 1.99
6 F 0.7100 0.6399 0.9855  1 Sb 2.03
7 F 0.7100 0.9855 0.6399  1 Sb 2.03
8 F 0.2900 0.3601 0.0145  1 Sb 2.03
9 Sb 0.5263 0.2997 0.2997  3 F 1.99-2.03
10 Sb 0.4737 0.7003 0.7003  3 F 1.99-2.03
11 Hg 0.0000 0.0000 0.0000  2 F 2.07

## Properties
Relative energy among the computed polymorphs   0.05 kcal/mol of atoms
E_tot   -46.358 eV/cell
Formation energy (no corrections)   -2.076 eV/atom
Space-group type   C2/m (12)